! NaTe2MoO8 | Alexandria via LeMat-Bulk | GGA+U | relaxed; values from VASP
! Total moment in μB per atom: 0.00
! Calculated total energy in Ha/atom: -0.21052
! Fermi-level density of states in states/eV/cell: 5.876
! Calculated density in g cm⁻³: 5.07
&SYSTEM
  ibrav = 0, nat = 12, ntyp = 4
/
ATOMIC_SPECIES
O 16.00 O.upf
Mo 95.94 Mo.upf
Te 127.60 Te.upf
Na 22.99 Na.upf
CELL_PARAMETERS angstrom
-3.837 2.869 -1.298
-3.359 -3.139 1.836
0.771 3.085 5.917
ATOMIC_POSITIONS angstrom
O -3.461 2.352 0.522
O -3.276 4.115 3.991
O -3.150 -1.300 2.464
O -4.492 2.751 6.059
O -4.458 1.428 3.495
O -1.968 1.387 2.960
O -1.934 0.064 0.395
O -2.965 0.463 5.933
Mo 0.000 0.000 0.000
Te -3.137 2.169 4.678
Te -3.289 0.646 1.776
Na 0.385 1.543 2.958